Record 1
A plane-wave DFT calculation with PBE was carried out for a relaxed AcScH crystal.

Properties
Uncorrected energy = -4.65 eV per atom

Geometry as CIF:
```
data_AcScH
_space_group_name_H-M_alt 'P 3 m 1'
_space_group_IT_number 156
_space_group_name_Hall 'P 3 -2"'
_cell_length_a 3.6256
_cell_length_b 3.6256
_cell_length_c 5.8904
_cell_angle_alpha 90.00
_cell_angle_beta 90.00
_cell_angle_gamma 120.00
loop_
_atom_site_label
_atom_site_type_symbol
_atom_site_fract_x
_atom_site_fract_y
_atom_site_fract_z
Ac1 Ac 0.0000 0.0000 0.0000
Sc1 Sc 0.6667 0.3333 0.5162
H1 H 0.3333 0.6667 0.6873
```


Record 2
A plane-wave DFT calculation with PBE was carried out for a relaxed Na4Ga2Hg5 crystal.

Properties
Energy relative to the elements = -0.1676 eV/atom
Uncorrected energy = -1.33 eV per atom

Geometry as CIF:
```
data_Na4Ga2Hg5
_space_group_name_H-M_alt 'P 1 2/m 1'
_space_group_IT_number 10
_space_group_name_Hall '-P 2y'
_cell_length_a 7.877
_cell_length_b 3.321
_cell_length_c 10.305
_cell_angle_alpha 90.00
_cell_angle_beta 94.95
_cell_angle_gamma 90.00
loop_
_atom_site_label
_atom_site_type_symbol
_atom_site_fract_x
_atom_site_fract_y
_atom_site_fract_z
Na1 Na 0.165 0.000 0.388
Na2 Na 0.291 0.000 0.937
Ga1 Ga 0.054 0.500 0.125
Hg1 Hg 0.188 0.500 0.668
Hg2 Hg 0.419 0.500 0.198
Hg3 Hg 0.500 0.500 0.500
```